Material: ReBiSe3
Method: DFT, meta-GGA SCAN
State: PBEsol geometry

```
ReBiSe3
1.0
4.8551 0.0000 0.0000
0.0000 4.8551 0.0000
0.0000 0.0000 4.8551
Se Bi Re
3 1 1
direct
0.0000 0.0000 0.5000 Se
0.0000 0.5000 0.0000 Se
0.5000 0.0000 0.0000 Se
0.5000 0.5000 0.5000 Bi
0.0000 0.0000 0.0000 Re
```

Properties
Space-group type: Pm-3m
Density, g/cm3: 9.17
Energy relative to the elements, uncorrected, eV per atom: 0.49
N(E_F), states/eV per cell: 6.49
DFT total energy, eV per atom: -41.494
Magnetic moment, μB per formula unit: 0.00

---

Material: AsPt2Pb
Method: DFT, meta-GGA SCAN
State: PBEsol geometry

```
AsPt2Pb
1.0
-3.0190 1.1219 -0.4875
-0.0183 -1.3385 -2.9672
-2.6159 -5.8124 2.6380
Pt As Pb
2 1 1
direct
0.0012 0.0000 0.7963 Pt
0.9988 0.0000 0.2037 Pt
0.5000 0.5000 0.0000 As
0.5000 0.5000 0.5000 Pb
```

Properties
Space-group type: P2/m
DFT formation energy, meV per atom: 8.8
Density, g/cm3: 15.26
N(E_F), states/eV per cell: 1.66
DFT total energy, eV per atom: -59.081
Magnetic moment, μB per formula unit: 0.00

---

Which value of DFT total energy does entry 1 give? -41.494 eV per atom

---

N(E_F) of number 2 (AsPt2Pb)? 1.66 states/eV per cell